[1]
{
  "formula": "NpBr2O6",
  "functional": "PBE",
  "state": "relaxed",
  "lattice_angstrom": [[6.6147, -4.5619, 0.0000], [6.6147, 4.5619, 0.0000], [-0.9123, 0.0000, 6.3929]],
  "species": ["Np", "Np", "Br", "Br", "Br", "Br", "O", "O", "O", "O", "O", "O", "O", "O", "O", "O", "O", "O"],
  "fractional_positions": [[0.0848, 0.9152, 0.7500], [0.9152, 0.0848, 0.2500], [0.3117, 0.3300, 0.0625], [0.3300, 0.3117, 0.5625], [0.6700, 0.6883, 0.4375], [0.6883, 0.6700, 0.9375], [0.0153, 0.1353, 0.6191], [0.1328, 0.6822, 0.8079], [0.1353, 0.0153, 0.1191], [0.2482, 0.4652, 0.3018], [0.3178, 0.8672, 0.6921], [0.4652, 0.2482, 0.8018], [0.5348, 0.7518, 0.1982], [0.6822, 0.1328, 0.3079], [0.7518, 0.5348, 0.6982], [0.8647, 0.9847, 0.8809], [0.8672, 0.3178, 0.1921], [0.9847, 0.8647, 0.3809]],
  "sg": "No. 15"
}


[2]
{
  "formula": "HgSbOs2",
  "functional": "PBE",
  "state": "relaxed",
  "lattice_angstrom": [[1.5464, -2.6321, 0.0000], [1.5464, 2.6321, 0.0000], [0.0000, 0.0000, 8.9991]],
  "species": ["Hg", "Sb", "Os", "Os"],
  "fractional_positions": [[0.0000, 0.0000, 0.0000], [0.0000, 0.0000, 0.5000], [0.5000, 0.5000, 0.2684], [0.5000, 0.5000, 0.7316]],
  "sg": "No. 65"
}


[3]
{
  "formula": "Sm6HfS12",
  "functional": "PBE",
  "state": "relaxed",
  "lattice_angstrom": [[6.0193, 3.4753, 3.8116], [-6.0193, 3.4753, 3.8116], [0.0000, -6.9505, 3.8116]],
  "species": ["Sm", "Sm", "Sm", "Sm", "Sm", "Sm", "Hf", "S", "S", "S", "S", "S", "S", "S", "S", "S", "S", "S", "S"],
  "fractional_positions": [[0.1350, 0.2937, 0.6302], [0.2937, 0.6302, 0.1350], [0.3698, 0.8650, 0.7063], [0.6302, 0.1350, 0.2937], [0.7063, 0.3698, 0.8650], [0.8650, 0.7063, 0.3698], [0.0000, 0.0000, 0.0000], [0.0321, 0.9345, 0.6845], [0.0655, 0.3155, 0.9679], [0.1791, 0.5784, 0.4414], [0.3155, 0.9679, 0.0655], [0.4216, 0.5586, 0.8209], [0.4414, 0.1791, 0.5784], [0.5586, 0.8209, 0.4216], [0.5784, 0.4414, 0.1791], [0.6845, 0.0321, 0.9345], [0.8209, 0.4216, 0.5586], [0.9345, 0.6845, 0.0321], [0.9679, 0.0655, 0.3155]],
  "sg": "No. 148"
}


Calculated density of states at the Fermi level, 14.37 3.75 13.02 states/eV/cell (same order as the records).
Calculated volume, 21.4 18.3 25.2 A^3/atom (same order as the records).
Calculated uncorrected formation energy, -0.887 1.029 -1.783 eV/atom (same order as the records).